## K2HgAsBr6 (meta-GGA SCAN)

Data for K2HgAsBr6 at its PBEsol-relaxed geometry.

The formation energy (no corrections) is -0.979 eV/atom.

The space group is Fm-3m (No. 225) and the conventional cell measures 10.935, 10.935 and 10.935 Å, with angles of 90.00, 90.00 and 90.00 degrees. The asymmetric unit holds K at (0.250, 0.250, 0.250), Hg at (0.000, 0.000, 0.000), As at (0.000, 0.000, 0.500) and Br at (0.000, 0.000, 0.260).

## NiBi2BF (meta-GGA SCAN)

Data for NiBi2BF at its PBEsol-relaxed geometry.

The formation energy (no corrections) is 0.121 eV/atom.

The space group is P4/mmm (No. 123) and the conventional cell measures 4.938, 4.938 and 3.753 Å, with angles of 90.00, 90.00 and 90.00 degrees. The asymmetric unit holds Ni at (0.000, 0.000, 0.000), Bi at (0.000, 0.500, 0.500), B at (0.000, 0.000, 0.500) and F at (0.500, 0.500, 0.000).

## K2LiY (meta-GGA SCAN)

Data for K2LiY at its PBEsol-relaxed geometry.

Its energy of formation from the pure elements is 547 meV per atom.

The space group is P4/mmm (No. 123) and the conventional cell measures 6.911, 6.911 and 3.679 Å, with angles of 90.00, 90.00 and 90.00 degrees. The asymmetric unit holds K at (0.000, 0.500, 0.000), Li at (0.000, 0.000, 0.500) and Y at (0.500, 0.500, 0.500).

## Cs2YTlCl6 (meta-GGA SCAN)

Data for Cs2YTlCl6 at its PBEsol-relaxed geometry.

The formation energy (no corrections) is -2.178 eV/atom.

The space group is Fm-3m (No. 225) and the conventional cell measures 11.203, 11.203 and 11.203 Å, with angles of 90.00, 90.00 and 90.00 degrees. The asymmetric unit holds Cs at (0.250, 0.250, 0.250), Y at (0.000, 0.000, 0.000), Tl at (0.000, 0.000, 0.500) and Cl at (0.000, 0.000, 0.232).

## KNi2Ru (meta-GGA SCAN)

Data for KNi2Ru at its PBEsol-relaxed geometry.

Its energy of formation from the pure elements is 942 meV per atom.

The space group is P4/mmm (No. 123) and the conventional cell measures 4.745, 4.745 and 2.564 Å, with angles of 90.00, 90.00 and 90.00 degrees. The asymmetric unit holds K at (0.000, 0.000, 0.000), Ni at (0.000, 0.500, 0.500) and Ru at (0.500, 0.500, 0.000).

## Al2GeS (meta-GGA SCAN)

Data for Al2GeS at its PBEsol-relaxed geometry.

The formation energy (no corrections) is -0.499 eV/atom.

The space group is I-42d (No. 122) and the conventional cell measures 5.552, 5.552 and 11.294 Å, with angles of 90.00, 90.00 and 90.00 degrees. The asymmetric unit holds Al at (0.249, 0.250, 0.125), Ge at (0.000, 0.000, 0.500) and S at (0.000, 0.000, 0.000).

## InCuO2 (meta-GGA SCAN)

Data for InCuO2 at its PBEsol-relaxed geometry.

The formation energy (no corrections) is -1.300 eV/atom.

The space group is R-3m (No. 166, hexagonal axes) and the conventional cell measures 3.3027, 3.3027 and 17.2953 Å, with angles of 90.00, 90.00 and 120.00 degrees. The asymmetric unit holds In at (0.0000, 0.0000, 0.0000), Cu at (0.0000, 0.0000, 0.5000) and O at (0.0000, 0.0000, 0.3947).

## CaAgS2Cl (meta-GGA SCAN)

Data for CaAgS2Cl at its PBEsol-relaxed geometry.

The formation energy (no corrections) is -0.711 eV/atom.

The space group is P4/mmm (No. 123) and the conventional cell measures 4.779, 4.779 and 4.894 Å, with angles of 90.00, 90.00 and 90.00 degrees. The asymmetric unit holds Ca at (0.000, 0.000, 0.000), Ag at (0.500, 0.500, 0.500), S at (0.000, 0.500, 0.500) and Cl at (0.500, 0.500, 0.000).

## SrHgMo (meta-GGA SCAN)

Data for SrHgMo at its PBEsol-relaxed geometry.

Its energy of formation from the pure elements is 764 meV per atom.

The space group is F-43m (No. 216) and the conventional cell measures 7.014, 7.014 and 7.014 Å, with angles of 90.00, 90.00 and 90.00 degrees. The asymmetric unit holds Sr at (0.000, 0.000, 0.000), Hg at (0.250, 0.250, 0.250) and Mo at (0.000, 0.000, 0.500).

## BeRhIN2 (meta-GGA SCAN)

Data for BeRhIN2 at its PBEsol-relaxed geometry.

The formation energy (no corrections) is 1.171 eV/atom.

The space group is P4/mmm (No. 123) and the conventional cell measures 3.683, 3.683 and 7.310 Å, with angles of 90.00, 90.00 and 90.00 degrees. The asymmetric unit holds Be at (0.000, 0.000, 0.000), Rh at (0.500, 0.500, 0.500), I at (0.500, 0.500, 0.000) and N at (0.000, 0.500, 0.500).

## LiMnZn (meta-GGA SCAN)

Data for LiMnZn at its PBEsol-relaxed geometry.

Its energy of formation from the pure elements is 253 meV per atom.

The space group is I4mm (No. 107) and the conventional cell measures 2.402, 2.402 and 12.578 Å, with angles of 90.00, 90.00 and 90.00 degrees. The asymmetric unit holds Li at (0.000, 0.000, 0.000), Mn at (0.000, 0.000, 0.333) and Zn at (0.000, 0.000, 0.674).

## AuF5 (meta-GGA SCAN)

Data for AuF5 at its PBEsol-relaxed geometry.

The formation energy (no corrections) is -0.892 eV/atom.

The space group is Pnma (No. 62) and the conventional cell measures 9.398, 14.999 and 4.889 Å, with angles of 90.00, 90.00 and 90.00 degrees. The asymmetric unit holds Au at (0.148, 0.145, 0.074), F at (0.020, 0.145, 0.771), F at (0.039, 0.250, 0.236), F at (0.045, 0.054, 0.247), F at (0.222, 0.651, 0.875), F at (0.240, 0.556, 0.411) and F at (0.248, 0.750, 0.401).

## Tl2Cd (meta-GGA SCAN)

Data for Tl2Cd at its PBEsol-relaxed geometry.

Its energy of formation from the pure elements is 57 meV per atom.

The space group is Fd-3m (No. 227, origin choice 2) and the conventional cell measures 13.666, 13.666 and 13.666 Å, with angles of 90.00, 90.00 and 90.00 degrees. The asymmetric unit holds Tl at (0.000, 0.000, 0.000), Tl at (0.063, 0.375, 0.875) and Cd at (0.037, 0.037, 0.213).

## SrMgSb2Mo (meta-GGA SCAN)

Data for SrMgSb2Mo at its PBEsol-relaxed geometry.

The formation energy (no corrections) is 0.373 eV/atom.

The space group is P4/mmm (No. 123) and the conventional cell measures 5.197, 5.197 and 5.657 Å, with angles of 90.00, 90.00 and 90.00 degrees. The asymmetric unit holds Sr at (0.000, 0.000, 0.000), Mg at (0.500, 0.500, 0.000), Sb at (0.000, 0.500, 0.500) and Mo at (0.000, 0.000, 0.500).

## Sb2PCI (meta-GGA SCAN)

Data for Sb2PCI at its PBEsol-relaxed geometry.

The formation energy (no corrections) is 1.442 eV/atom.

The space group is P4/mmm (No. 123) and the conventional cell measures 4.858, 4.858 and 4.498 Å, with angles of 90.00, 90.00 and 90.00 degrees. The asymmetric unit holds Sb at (0.000, 0.500, 0.000), P at (0.000, 0.000, 0.500), C at (0.500, 0.500, 0.000) and I at (0.500, 0.500, 0.500).

## Al4Zn (meta-GGA SCAN)

Data for Al4Zn at its PBEsol-relaxed geometry.

Its energy of formation from the pure elements is 6 meV per atom.

The space group is I4/m (No. 87) and the conventional cell measures 6.320, 6.320 and 3.975 Å, with angles of 90.00, 90.00 and 90.00 degrees. The asymmetric unit holds Al at (0.101, 0.701, 0.000) and Zn at (0.000, 0.000, 0.500).

## La2HgN (meta-GGA SCAN)

Data for La2HgN at its PBEsol-relaxed geometry.

The formation energy (no corrections) is -1.053 eV/atom.

The space group is I-42d (No. 122) and the conventional cell measures 7.106, 7.106 and 8.417 Å, with angles of 90.00, 90.00 and 90.00 degrees. The asymmetric unit holds La at (0.157, 0.250, 0.125), Hg at (0.000, 0.000, 0.500) and N at (0.000, 0.000, 0.000).

## MoIrN2 (meta-GGA SCAN)

Data for MoIrN2 at its PBEsol-relaxed geometry.

The formation energy (no corrections) is 0.184 eV/atom.

The space group is I-42d (No. 122) and the conventional cell measures 4.115, 4.115 and 11.008 Å, with angles of 90.00, 90.00 and 90.00 degrees. The asymmetric unit holds Mo at (0.000, 0.000, 0.000), Ir at (0.000, 0.000, 0.500) and N at (0.237, 0.250, 0.125).

## ReTcRu3 (meta-GGA SCAN)

Data for ReTcRu3 at its PBEsol-relaxed geometry.

Its energy of formation from the pure elements is 1908 meV per atom.

The space group is Pm-3m (No. 221) and the conventional cell measures 4.564, 4.564 and 4.564 Å, with angles of 90.00, 90.00 and 90.00 degrees. The asymmetric unit holds Re at (0.000, 0.000, 0.000), Tc at (0.500, 0.500, 0.500) and Ru at (0.000, 0.000, 0.500).

## Li3Mn2Cr2O8 (meta-GGA SCAN)

Data for Li3Mn2Cr2O8 at its PBEsol-relaxed geometry.

The formation energy (no corrections) is -2.338 eV/atom.

The space group is C2/m (No. 12) and the conventional cell measures 9.974, 5.672 and 5.816 Å, with angles of 90.00, 125.39 and 90.00 degrees. The asymmetric unit holds Li at (0.000, 0.000, 0.000), Li at (0.250, 0.250, 0.500), Mn at (0.250, 0.250, 0.000), Cr at (0.000, 0.500, 0.000), Cr at (0.000, 0.500, 0.500), O at (0.014, 0.269, 0.767), O at (0.239, 0.500, 0.217) and O at (0.243, 0.500, 0.761).

## MgS3O (meta-GGA SCAN)

Data for MgS3O at its PBEsol-relaxed geometry.

The formation energy (no corrections) is 0.257 eV/atom.

The space group is Pm-3m (No. 221) and the conventional cell measures 4.236, 4.236 and 4.236 Å, with angles of 90.00, 90.00 and 90.00 degrees. The asymmetric unit holds Mg at (0.000, 0.000, 0.000), S at (0.000, 0.500, 0.500) and O at (0.500, 0.500, 0.500).

## Sr2AgPt (meta-GGA SCAN)

Data for Sr2AgPt at its PBEsol-relaxed geometry.

Its energy of formation from the pure elements is -591 meV per atom.

The space group is P4/mmm (No. 123) and the conventional cell measures 3.702, 3.702 and 7.538 Å, with angles of 90.00, 90.00 and 90.00 degrees. The asymmetric unit holds Sr at (0.000, 0.000, 0.230), Ag at (0.500, 0.500, 0.500) and Pt at (0.500, 0.500, 0.000).

## GaTc2H2 (meta-GGA SCAN)

Data for GaTc2H2 at its PBEsol-relaxed geometry.

The space group is I4/mmm (No. 139) and the conventional cell measures 3.050, 3.050 and 10.105 Å, with angles of 90.00, 90.00 and 90.00 degrees. The asymmetric unit holds Ga at (0.000, 0.000, 0.000), Tc at (0.000, 0.000, 0.351) and H at (0.000, 0.500, 0.250).

## CaTiAl3 (meta-GGA SCAN)

Data for CaTiAl3 at its PBEsol-relaxed geometry.

Its energy of formation from the pure elements is 244 meV per atom.

The space group is Pm-3m (No. 221) and the conventional cell measures 4.936, 4.936 and 4.936 Å, with angles of 90.00, 90.00 and 90.00 degrees. The asymmetric unit holds Ca at (0.000, 0.000, 0.000), Ti at (0.500, 0.500, 0.500) and Al at (0.000, 0.500, 0.500).

Results for M_tot: 0.0, 0.0, 1.1, 0.0, 1.9, 0.0, 0.0, 0.0, 3.7, 0.2, 0.4, 0.0, 0.0, 0.0, 0.0, 0.0, 0.0, 0.0, 5.8, 11.0, 0.0, 0.0, 0.0, 1.4 (in μB/f.u., following the order of the records).
Results for total DFT energy (no corrections): -926.26, -183.70, -44.70, -981.88, -71.73, -184.85, -198.74, -71.82, -492.14, -87.59, -66.80, -737.66, -5598.74, -134.79, -124.55, -88.99, -671.52, -495.33, -201.10, -330.72, -38.81, -148.48, -186.60, -47.73 (in eV/cell, following the order of the records).
Results for mass density: 4.23, 9.19, 1.64, 3.65, 7.41, 3.03, 6.41, 3.68, 7.40, 4.47, 5.83, 5.63, 10.85, 4.90, 6.47, 3.63, 7.70, 11.27, 10.26, 4.49, 2.98, 7.69, 9.46, 2.33 (in g cm⁻³, following the order of the records).